# SnHgIrRh2

A relaxed structure of SnHgIrRh2 (GGA-PBE, Alexandria via LeMat-Bulk).

POSCAR file:
```
SnHgIrRh2
1.0
4.8509 0.0000 0.0000
0.0000 4.8906 0.0000
0.0000 0.0000 4.8509
Ir Rh Hg Sn
1 2 1 1
direct
0.0000 0.5000 0.0000
0.0000 0.0000 0.5000
0.5000 0.0000 0.0000
0.5000 0.5000 0.5000
0.0000 0.0000 0.0000
```

Results
The calculation puts the volume at 115.1 Å³ per cell. For the density of states at the Fermi level, the calculation gives 0.81 states/eV per atom. The energy of formation comes out at 1175.6 meV/atom.